The following is a PBE calculation of a relaxed TbEr7Tm3 crystal, from Alexandria.

The calculation puts the volume at 342.9 Å³ per cell. For the mass density, the calculation gives 8.89 g cm⁻³. The formation energy is 0.155 eV/atom.

The space group is P2/m (No. 10) and the conventional cell measures 6.853, 5.446 and 9.762 Å, with angles of 90.00, 109.74 and 90.00 degrees. The inequivalent atoms are Tb at (0.000, 0.000, 0.000), Er at (0.000, 0.000, 0.500), Er at (0.148, 0.500, 0.791), Er at (0.322, 0.500, 0.142), Er at (0.423, 0.000, 0.332), Tm at (0.277, 0.500, 0.497) and Tm at (0.500, 0.000, 0.000).